# 1
Compound: TaCoP2
Source: the Alexandria database
Functional: GGA-PBEsol
Structure: relaxed

The structure in CIF format:
```
data_TaCoP2
_chemical_formula_sum 'Ta2 Co2 P4'
_symmetry_space_group_name_H-M 'C 1 2/m 1'
_symmetry_Int_Tables_number 12
_symmetry_space_group_name_Hall '-C 2y'
_cell_length_a 5.571
_cell_length_b 7.498
_cell_length_c 2.794
_cell_angle_alpha 90.00
_cell_angle_beta 112.89
_cell_angle_gamma 90.00
loop_
_atom_site_label
_atom_site_type_symbol
_atom_site_fract_x
_atom_site_fract_y
_atom_site_fract_z
Ta1 Ta 0.000 0.000 0.000
Co1 Co 0.000 0.500 0.000
P1 P 0.250 0.250 0.500
```

Properties
- energy of formation from the pure elements (eV/atom) = -0.070
- M_tot (μB/atom) = 0.00

# 2
Compound: InHg3
Source: the Alexandria database
Functional: GGA-PBEsol
Structure: relaxed

The structure in CIF format:
```
data_InHg3
_chemical_formula_sum 'In1 Hg3'
_symmetry_space_group_name_H-M 'P m m m'
_symmetry_Int_Tables_number 47
_symmetry_space_group_name_Hall '-P 2 2'
_cell_length_a 3.252
_cell_length_b 4.735
_cell_length_c 6.168
_cell_angle_alpha 90.00
_cell_angle_beta 90.00
_cell_angle_gamma 90.00
loop_
_atom_site_label
_atom_site_type_symbol
_atom_site_fract_x
_atom_site_fract_y
_atom_site_fract_z
In1 In 0.000 0.000 0.000
Hg1 Hg 0.000 0.000 0.500
Hg2 Hg 0.500 0.500 0.253
```

Properties
- energy of formation from the pure elements (eV/atom) = -0.015
- M_tot (μB/atom) = 0.00

# 3
Compound: BaPRh
Source: the Alexandria database
Functional: GGA-PBEsol
Structure: relaxed

The structure in CIF format:
```
data_BaPRh
_chemical_formula_sum 'Ba4 P4 Rh4'
_symmetry_space_group_name_H-M 'F -4 3 m'
_symmetry_Int_Tables_number 216
_symmetry_space_group_name_Hall 'F -4 2 3'
_cell_length_a 6.859
_cell_length_b 6.859
_cell_length_c 6.859
_cell_angle_alpha 90.00
_cell_angle_beta 90.00
_cell_angle_gamma 90.00
loop_
_atom_site_label
_atom_site_type_symbol
_atom_site_fract_x
_atom_site_fract_y
_atom_site_fract_z
Ba1 Ba 0.000 0.000 0.000
P1 P 0.250 0.250 0.750
Rh1 Rh 0.250 0.250 0.250
```

Properties
- energy of formation from the pure elements (eV/atom) = 0.878
- M_tot (μB/atom) = 0.00

# 4
Compound: TePb2
Source: the Alexandria database
Functional: GGA-PBEsol
Structure: relaxed

The structure in CIF format:
```
data_TePb2
_chemical_formula_sum 'Te2 Pb4'
_symmetry_space_group_name_H-M 'P 63/m m c'
_symmetry_Int_Tables_number 194
_symmetry_space_group_name_Hall '-P 6c 2c'
_cell_length_a 5.0256
_cell_length_b 5.0256
_cell_length_c 8.8552
_cell_angle_alpha 90.00
_cell_angle_beta 90.00
_cell_angle_gamma 120.00
loop_
_atom_site_label
_atom_site_type_symbol
_atom_site_fract_x
_atom_site_fract_y
_atom_site_fract_z
Te1 Te 0.0000 0.0000 0.2500
Pb1 Pb 0.3333 0.6667 0.0723
```

Properties
- formation energy without anion corrections (eV per atom) = 0.0308
- M_tot (μB/atom) = 0.00

# 5
Compound: ZnCoNi6
Source: the Alexandria database
Functional: GGA-PBEsol
Structure: relaxed

The structure in CIF format:
```
data_ZnCoNi6
_chemical_formula_sum 'Zn8 Co8 Ni48'
_symmetry_space_group_name_H-M 'C m m m'
_symmetry_Int_Tables_number 65
_symmetry_space_group_name_Hall '-C 2 2'
_cell_length_a 6.973
_cell_length_b 9.866
_cell_length_c 9.877
_cell_angle_alpha 90.00
_cell_angle_beta 90.00
_cell_angle_gamma 90.00
loop_
_atom_site_label
_atom_site_type_symbol
_atom_site_fract_x
_atom_site_fract_y
_atom_site_fract_z
Zn1 Zn 0.000 0.000 0.250
Zn2 Zn 0.000 0.248 0.000
Co1 Co 0.000 0.249 0.500
Co2 Co 0.000 0.500 0.249
Ni1 Ni 0.000 0.000 0.000
Ni2 Ni 0.000 0.000 0.500
Ni3 Ni 0.000 0.252 0.255
Ni4 Ni 0.000 0.500 0.000
Ni5 Ni 0.000 0.500 0.500
Ni6 Ni 0.246 0.374 0.377
Ni7 Ni 0.246 0.376 0.127
```

Properties
- energy of formation from the pure elements (eV/atom) = -0.063
- M_tot (μB/atom) = 0.59

# 6
Compound: Sc2Be
Source: the Alexandria database
Functional: GGA-PBEsol
Structure: relaxed

The structure in CIF format:
```
data_Sc2Be
_chemical_formula_sum 'Sc8 Be4'
_symmetry_space_group_name_H-M 'C m c m'
_symmetry_Int_Tables_number 63
_symmetry_space_group_name_Hall '-C 2c 2'
_cell_length_a 3.216
_cell_length_b 14.621
_cell_length_c 4.597
_cell_angle_alpha 90.00
_cell_angle_beta 90.00
_cell_angle_gamma 90.00
loop_
_atom_site_label
_atom_site_type_symbol
_atom_site_fract_x
_atom_site_fract_y
_atom_site_fract_z
Sc1 Sc 0.000 0.078 0.250
Sc2 Sc 0.000 0.219 0.750
Be1 Be 0.000 0.430 0.250
```

Properties
- energy of formation from the pure elements (eV/atom) = 0.001
- M_tot (μB/atom) = 0.00

# 7
Compound: CsMnBe2
Source: the Alexandria database
Functional: GGA-PBEsol
Structure: relaxed

The structure in CIF format:
```
data_CsMnBe2
_chemical_formula_sum 'Cs4 Mn4 Be8'
_symmetry_space_group_name_H-M 'F m -3 m'
_symmetry_Int_Tables_number 225
_symmetry_space_group_name_Hall '-F 4 2 3'
_cell_length_a 7.008
_cell_length_b 7.008
_cell_length_c 7.008
_cell_angle_alpha 90.00
_cell_angle_beta 90.00
_cell_angle_gamma 90.00
loop_
_atom_site_label
_atom_site_type_symbol
_atom_site_fract_x
_atom_site_fract_y
_atom_site_fract_z
Cs1 Cs 0.000 0.000 0.000
Mn1 Mn 0.000 0.000 0.500
Be1 Be 0.250 0.250 0.250
```

Properties
- energy of formation from the pure elements (eV/atom) = 1.680
- M_tot (μB/atom) = 1.04

# 8
Compound: KRb3O
Source: the Alexandria database
Functional: GGA-PBEsol
Structure: relaxed

The structure in CIF format:
```
data_KRb3O
_chemical_formula_sum 'K1 Rb3 O1'
_symmetry_space_group_name_H-M 'P m -3 m'
_symmetry_Int_Tables_number 221
_symmetry_space_group_name_Hall '-P 4 2 3'
_cell_length_a 7.720
_cell_length_b 7.720
_cell_length_c 7.720
_cell_angle_alpha 90.00
_cell_angle_beta 90.00
_cell_angle_gamma 90.00
loop_
_atom_site_label
_atom_site_type_symbol
_atom_site_fract_x
_atom_site_fract_y
_atom_site_fract_z
K1 K 0.000 0.000 0.000
Rb1 Rb 0.000 0.000 0.500
O1 O 0.500 0.500 0.500
```

Properties
- formation energy without anion corrections (eV per atom) = 0.6029
- M_tot (μB/atom) = 0.16

# 9
Compound: AcMgHg2
Source: the Alexandria database
Functional: GGA-PBEsol
Structure: relaxed

The structure in CIF format:
```
data_AcMgHg2
_chemical_formula_sum 'Ac4 Mg4 Hg8'
_symmetry_space_group_name_H-M 'F m -3 m'
_symmetry_Int_Tables_number 225
_symmetry_space_group_name_Hall '-F 4 2 3'
_cell_length_a 7.503
_cell_length_b 7.503
_cell_length_c 7.503
_cell_angle_alpha 90.00
_cell_angle_beta 90.00
_cell_angle_gamma 90.00
loop_
_atom_site_label
_atom_site_type_symbol
_atom_site_fract_x
_atom_site_fract_y
_atom_site_fract_z
Ac1 Ac 0.000 0.000 0.000
Mg1 Mg 0.000 0.000 0.500
Hg1 Hg 0.250 0.250 0.250
```

Properties
- energy of formation from the pure elements (eV/atom) = -0.505
- M_tot (μB/atom) = 0.00

# 10
Compound: Ti3NiSn2P6O24
Source: the Alexandria database
Functional: GGA-PBEsol
Structure: relaxed

The structure in CIF format:
```
data_Ti3NiSn2P6O24
_chemical_formula_sum 'Ti9 Ni3 Sn6 P18 O72'
_symmetry_space_group_name_H-M 'R 3'
_symmetry_Int_Tables_number 146
_symmetry_space_group_name_Hall 'R 3'
_cell_length_a 8.3731
_cell_length_b 8.3731
_cell_length_c 22.9757
_cell_angle_alpha 90.00
_cell_angle_beta 90.00
_cell_angle_gamma 120.00
loop_
_atom_site_label
_atom_site_type_symbol
_atom_site_fract_x
_atom_site_fract_y
_atom_site_fract_z
Ti1 Ti 0.0000 0.0000 0.0000
Ti2 Ti 0.0000 0.0000 0.2081
Ti3 Ti 0.0000 0.0000 0.5076
Ni1 Ni 0.0000 0.0000 0.6992
Sn1 Sn 0.0000 0.0000 0.3663
Sn2 Sn 0.0000 0.0000 0.8307
P1 P 0.0040 0.7181 0.1035
P2 P 0.0490 0.3782 0.2733
O1 O 0.0047 0.8133 0.1603
O2 O 0.0077 0.8279 0.4430
O3 O 0.0268 0.2006 0.5494
O4 O 0.0563 0.8433 0.0503
O5 O 0.0648 0.8553 0.7633
O6 O 0.1584 0.4739 0.9250
O7 O 0.1846 0.4556 0.6198
O8 O 0.1857 0.4359 0.3229
```

Properties
- formation energy without anion corrections (eV per atom) = -2.2769
- M_tot (μB/atom) = 0.06

# 11
Compound: MnTcPS2
Source: the Alexandria database
Functional: GGA-PBEsol
Structure: relaxed

The structure in CIF format:
```
data_MnTcPS2
_chemical_formula_sum 'Mn1 Tc1 P1 S2'
_symmetry_space_group_name_H-M 'P 4/m m m'
_symmetry_Int_Tables_number 123
_symmetry_space_group_name_Hall '-P 4 2'
_cell_length_a 4.309
_cell_length_b 4.309
_cell_length_c 4.374
_cell_angle_alpha 90.00
_cell_angle_beta 90.00
_cell_angle_gamma 90.00
loop_
_atom_site_label
_atom_site_type_symbol
_atom_site_fract_x
_atom_site_fract_y
_atom_site_fract_z
Mn1 Mn 0.000 0.000 0.000
Tc1 Tc 0.500 0.500 0.500
P1 P 0.000 0.000 0.500
S1 S 0.000 0.500 0.000
```

Properties
- formation energy without anion corrections (eV per atom) = 0.8065
- M_tot (μB/atom) = 0.64

# 12
Compound: MgSc2Cu2
Source: the Alexandria database
Functional: GGA-PBEsol
Structure: relaxed

The structure in CIF format:
```
data_MgSc2Cu2
_chemical_formula_sum 'Mg2 Sc4 Cu4'
_symmetry_space_group_name_H-M 'I 4/m m m'
_symmetry_Int_Tables_number 139
_symmetry_space_group_name_Hall '-I 4 2'
_cell_length_a 3.312
_cell_length_b 3.312
_cell_length_c 17.535
_cell_angle_alpha 90.00
_cell_angle_beta 90.00
_cell_angle_gamma 90.00
loop_
_atom_site_label
_atom_site_type_symbol
_atom_site_fract_x
_atom_site_fract_y
_atom_site_fract_z
Mg1 Mg 0.000 0.000 0.000
Sc1 Sc 0.000 0.000 0.376
Cu1 Cu 0.000 0.500 0.250
```

Properties
- energy of formation from the pure elements (eV/atom) = 0.091
- M_tot (μB/atom) = 0.00

Copy entry 12 word for word.
Compound: MgSc2Cu2
Source: the Alexandria database
Functional: GGA-PBEsol
Structure: relaxed

The structure in CIF format:
```
data_MgSc2Cu2
_chemical_formula_sum 'Mg2 Sc4 Cu4'
_symmetry_space_group_name_H-M 'I 4/m m m'
_symmetry_Int_Tables_number 139
_symmetry_space_group_name_Hall '-I 4 2'
_cell_length_a 3.312
_cell_length_b 3.312
_cell_length_c 17.535
_cell_angle_alpha 90.00
_cell_angle_beta 90.00
_cell_angle_gamma 90.00
loop_
_atom_site_label
_atom_site_type_symbol
_atom_site_fract_x
_atom_site_fract_y
_atom_site_fract_z
Mg1 Mg 0.000 0.000 0.000
Sc1 Sc 0.000 0.000 0.376
Cu1 Cu 0.000 0.500 0.250
```

Properties
- energy of formation from the pure elements (eV/atom) = 0.091
- M_tot (μB/atom) = 0.00